# 1
# Hf2Re2Mo (PBE, optimized geometry)
data_Hf2Re2Mo
_cell_length_a 6.5293
_cell_length_b 6.5293
_cell_length_c 4.4394
_cell_angle_alpha 90.00
_cell_angle_beta 90.00
_cell_angle_gamma 90.00
_symmetry_space_group_name_H-M 'P 4/m b m'
_symmetry_Int_Tables_number 127
_symmetry_space_group_name_Hall '-P 4 2ab'
loop_
_atom_site_label
_atom_site_type_symbol
_atom_site_fract_x
_atom_site_fract_y
_atom_site_fract_z
Hf1 Hf 0.1774 0.3226 0.0000
Re1 Re 0.1344 0.6344 0.5000
Mo1 Mo 0.0000 0.0000 0.5000
# - crystal system = tetragonal
# - final energy (eV/atom) = -11.110
# - density of states at the Fermi level (states/eV per cell) = 6.418
# - energy of formation (eV per atom) = 0.017

=====

# 2
# HfRe2Mo (PBE, optimized geometry)
data_HfRe2Mo
_cell_length_a 6.3950
_cell_length_b 6.3950
_cell_length_c 6.3950
_cell_angle_alpha 90.00
_cell_angle_beta 90.00
_cell_angle_gamma 90.00
_symmetry_space_group_name_H-M 'F m -3 m'
_symmetry_Int_Tables_number 225
_symmetry_space_group_name_Hall '-F 4 2 3'
loop_
_atom_site_label
_atom_site_type_symbol
_atom_site_fract_x
_atom_site_fract_y
_atom_site_fract_z
Hf1 Hf 0.0000 0.0000 0.0000
Re1 Re 0.2500 0.2500 0.2500
Mo1 Mo 0.0000 0.0000 0.5000
# - crystal system = cubic
# - final energy (eV/atom) = -11.612
# - density of states at the Fermi level (states/eV per cell) = 4.232
# - energy above the lowest structure with this stoichiometry (eV per atom) = 0.013
# - energy of formation (eV per atom) = -0.192

=====

# 3
# HfRe4Mo (PBE, optimized geometry)
data_HfRe4Mo
_cell_length_a 7.3663
_cell_length_b 7.3663
_cell_length_c 7.3663
_cell_angle_alpha 90.00
_cell_angle_beta 90.00
_cell_angle_gamma 90.00
_symmetry_space_group_name_H-M 'F -4 3 m'
_symmetry_Int_Tables_number 216
_symmetry_space_group_name_Hall 'F -4 2 3'
loop_
_atom_site_label
_atom_site_type_symbol
_atom_site_fract_x
_atom_site_fract_y
_atom_site_fract_z
Hf1 Hf 0.0000 0.0000 0.0000
Re1 Re 0.1258 0.1258 0.3742
Mo1 Mo 0.2500 0.2500 0.7500
# - crystal system = cubic
# - final energy (eV/atom) = -11.802
# - density of states at the Fermi level (states/eV per cell) = 32.112
# - energy of formation (eV per atom) = -0.039

=====

# 4
# HfReMo2 (PBE, optimized geometry)
data_HfReMo2
_cell_length_a 6.4114
_cell_length_b 6.4114
_cell_length_c 6.4114
_cell_angle_alpha 90.00
_cell_angle_beta 90.00
_cell_angle_gamma 90.00
_symmetry_space_group_name_H-M 'F m -3 m'
_symmetry_Int_Tables_number 225
_symmetry_space_group_name_Hall '-F 4 2 3'
loop_
_atom_site_label
_atom_site_type_symbol
_atom_site_fract_x
_atom_site_fract_y
_atom_site_fract_z
Hf1 Hf 0.0000 0.0000 0.0000
Re1 Re 0.0000 0.0000 0.5000
Mo1 Mo 0.2500 0.2500 0.2500
# - crystal system = cubic
# - final energy (eV/atom) = -11.144
# - density of states at the Fermi level (states/eV per cell) = 8.174
# - energy above the lowest structure with this stoichiometry (eV per atom) = 0.000
# - energy of formation (eV per atom) = -0.128